Compound: Li2Cu2WO6
Source: Alexandria
Functional: PBE with a Hubbard U
Structure: relaxed

## Properties
Calculated volume ... 10.6 Å³ per atom
Fermi-level density of states ... 6.0 states/eV per cell
VASP energy ... -5.8013 eV per atom

Cell: 5.160 5.160 5.044 Å, 90.00 90.00 120.00°
Atoms (fractional coordinates):
Li: 0.333 0.667 0.000
Li: 0.667 0.333 0.000
Cu: 0.333 0.667 0.500
Cu: 0.667 0.333 0.500
W: 0.000 0.000 0.500
O: 0.000 0.314 0.276
O: 0.000 0.686 0.724
O: 0.314 0.000 0.276
O: 0.314 0.314 0.724
O: 0.686 0.000 0.724
O: 0.686 0.686 0.276